No. 1
Density functional theory data (PBE-GGA) for an optimized crystal structure of Ac3Sn.

Values from the calculation:
DFT formation energy in eV per atom: -0.292
Density of states at the Fermi level in states/eV per atom: 1.162
Distance to the lowest polymorph of the same formula in meV/atom: 95.3
Volume in Å³ per atom: 39.52
SG: Imm2 (44)
Magnetic moment in Bohr magnetons per cell: 0.000
Mass density in g/cm³: 8.4

Structure (POSCAR):
```
Ac3Sn
1.0
-2.0616 6.1931 3.0953
2.0616 -6.1931 3.0953
2.0616 6.1931 -3.0953
Ac Sn
3 1
direct
0.0000 0.0000 0.0000 Ac
0.2033 0.4200 0.7833 Ac
0.6367 0.4200 0.2167 Ac
0.5353 0.0353 0.5000 Sn
```

***

No. 2
Density functional theory data (PBE-GGA) for an optimized crystal structure of ThGe2Bi2Pt7.

Values from the calculation:
DFT formation energy in eV per atom: -0.596
Density of states at the Fermi level in states/eV per atom: 0.240
Volume in Å³ per atom: 21.55
SG: C2/m (12)
Magnetic moment in Bohr magnetons per cell: 0.000
Mass density in g/cm³: 13.9

Structure (POSCAR):
```
ThGe2Bi2Pt7
1.0
2.8808 -2.8805 0.0000
2.8808 2.8805 0.0000
-2.8649 0.0000 15.5801
Th Ge Bi Pt
1 2 2 7
direct
0.0000 0.0000 0.0000 Th
0.3800 0.3800 0.7597 Ge
0.6200 0.6200 0.2403 Ge
0.2112 0.2112 0.4225 Bi
0.7888 0.7888 0.5775 Bi
0.0715 0.5712 0.1435 Pt
0.3005 0.3005 0.6033 Pt
0.4288 0.9285 0.8565 Pt
0.5000 0.5000 0.0000 Pt
0.5712 0.0715 0.1435 Pt
0.6995 0.6995 0.3967 Pt
0.9285 0.4288 0.8565 Pt
```

***

No. 3
Density functional theory data (PBE-GGA) for an optimized crystal structure of Rb2AcTe2O6.

Values from the calculation:
Density of states at the Fermi level in states/eV per atom: 0.215
Energy relative to the elements, uncorrected in meV/atom: -1649.5
Volume in Å³ per atom: 21.25
SG: C2/m (12)
Magnetic moment in Bohr magnetons per cell: 0.945
Mass density in g/cm³: 5.3

Structure (POSCAR):
```
Rb2AcTe2O6
1.0
4.9297 -3.2750 0.0000
4.9297 3.2750 0.0000
-2.6082 0.0000 7.2379
Rb Ac Te O
2 1 2 6
direct
0.2113 0.2113 0.1410 Rb
0.7887 0.7887 0.8590 Rb
0.0000 0.0000 0.5000 Ac
0.4006 0.4006 0.7719 Te
0.5994 0.5994 0.2281 Te
0.2525 0.7204 0.2500 O
0.2644 0.2644 0.5258 O
0.2796 0.7475 0.7500 O
0.7204 0.2525 0.2500 O
0.7356 0.7356 0.4742 O
0.7475 0.2796 0.7500 O
```

***

No. 4
Density functional theory data (PBE-GGA) for an optimized crystal structure of DyScAu4.

Values from the calculation:
DFT formation energy in eV per atom: -0.830
Density of states at the Fermi level in states/eV per atom: 0.387
Distance to the lowest polymorph of the same formula in meV/atom: 0.0
Volume in Å³ per atom: 20.02
SG: C2/m (12)
Magnetic moment in Bohr magnetons per cell: 0.000
Mass density in g/cm³: 13.8

Structure (POSCAR):
```
DyScAu4
1.0
4.8311 -1.8354 0.0000
4.8311 1.8354 0.0000
-2.7338 0.0000 6.7736
Dy Sc Au
1 1 4
direct
0.0000 0.0000 0.0000 Dy
0.0000 0.0000 0.5000 Sc
0.3361 0.3361 0.6585 Au
0.3372 0.3372 0.1809 Au
0.6628 0.6628 0.8191 Au
0.6639 0.6639 0.3415 Au
```

***

No. 5
Density functional theory data (PBE-GGA) for an optimized crystal structure of ScAgHgPb.

Values from the calculation:
DFT formation energy in eV per atom: -0.203
Density of states at the Fermi level in states/eV per atom: 0.482
Distance to the lowest polymorph of the same formula in meV/atom: 0.0
Volume in Å³ per atom: 22.33
SG: Pmmm (47)
Magnetic moment in Bohr magnetons per cell: 0.000
Mass density in g/cm³: 10.4

Structure (POSCAR):
```
ScAgHgPb
1.0
4.1520 0.0000 0.0000
0.0000 4.5261 0.0000
0.0000 0.0000 4.7524
Sc Ag Hg Pb
1 1 1 1
direct
0.0000 0.0000 0.0000 Sc
0.0000 0.5000 0.5000 Ag
0.5000 0.0000 0.5000 Hg
0.5000 0.5000 0.0000 Pb
```

***

No. 6
Density functional theory data (PBE-GGA) for an optimized crystal structure of Ce2AsAu.

Values from the calculation:
DFT formation energy in eV per atom: -0.978
Density of states at the Fermi level in states/eV per atom: 2.950
Volume in Å³ per atom: 26.69
SG: Cmcm (63)
Magnetic moment in Bohr magnetons per cell: 3.576
Mass density in g/cm³: 8.6

Structure (POSCAR):
```
Ce2AsAu
1.0
2.0445 -11.9960 0.0000
2.0445 11.9960 0.0000
0.0000 0.0000 4.3531
Ce As Au
4 2 2
direct
0.0686 0.9314 0.7500 Ce
0.3128 0.6872 0.7500 Ce
0.6872 0.3128 0.2500 Ce
0.9314 0.0686 0.2500 Ce
0.1898 0.8102 0.7500 As
0.8102 0.1898 0.2500 As
0.4572 0.5428 0.7500 Au
0.5428 0.4572 0.2500 Au
```

***

No. 7
Density functional theory data (PBE-GGA) for an optimized crystal structure of Zn2AgPt.

Values from the calculation:
DFT formation energy in eV per atom: -0.244
Density of states at the Fermi level in states/eV per atom: 0.277
Volume in Å³ per atom: 15.75
SG: C2/m (12)
Magnetic moment in Bohr magnetons per cell: 0.000
Mass density in g/cm³: 11.4

Structure (POSCAR):
```
Zn2AgPt
1.0
4.3281 -1.4480 0.0000
4.3281 1.4480 0.0000
-0.9733 0.0000 5.0251
Zn Ag Pt
2 1 1
direct
0.2449 0.2449 0.2324 Zn
0.7551 0.7551 0.7676 Zn
0.0000 0.0000 0.5000 Ag
0.5000 0.5000 0.0000 Pt
```

***

No. 8
Density functional theory data (PBE-GGA) for an optimized crystal structure of Pr2Dy5Y4.

Values from the calculation:
DFT formation energy in eV per atom: 0.149
Density of states at the Fermi level in states/eV per atom: 1.926
Distance to the lowest polymorph of the same formula in meV/atom: 0.0
Volume in Å³ per atom: 33.06
SG: C2/m (12)
Magnetic moment in Bohr magnetons per cell: 0.000
Mass density in g/cm³: 6.6

Structure (POSCAR):
```
Pr2Dy5Y4
1.0
11.9792 -1.7381 0.0000
11.9792 1.7381 0.0000
-0.9811 0.0000 8.7330
Pr Dy Y
2 5 4
direct
0.0931 0.0931 0.2457 Pr
0.9069 0.9069 0.7543 Pr
0.1413 0.1413 0.6234 Dy
0.2340 0.2340 0.3269 Dy
0.5000 0.5000 0.5000 Dy
0.7660 0.7660 0.6731 Dy
0.8587 0.8587 0.3766 Dy
0.0455 0.0455 0.8607 Y
0.3217 0.3217 0.0261 Y
0.6783 0.6783 0.9739 Y
0.9545 0.9545 0.1393 Y
```

***

No. 9
Density functional theory data (PBE-GGA) for an optimized crystal structure of Ca2CeSmS4.

Values from the calculation:
Density of states at the Fermi level in states/eV per atom: 0.916
Energy relative to the elements, uncorrected in meV/atom: -2039.4
Volume in Å³ per atom: 23.17
SG: P2/m (10)
Magnetic moment in Bohr magnetons per cell: 1.378
Mass density in g/cm³: 4.5

Structure (POSCAR):
```
Ca2CeSmS4
1.0
6.9342 0.0000 0.0000
0.0000 4.0045 0.0000
-2.3106 0.0000 6.6749
Ca Ce Sm S
2 1 1 4
direct
0.0000 0.0000 0.0000 Ca
0.5000 0.5000 0.0000 Ca
0.0000 0.5000 0.5000 Ce
0.5000 0.0000 0.5000 Sm
0.2503 0.5000 0.2471 S
0.2533 0.0000 0.7549 S
0.7467 0.0000 0.2451 S
0.7497 0.5000 0.7529 S
```

***

No. 10
Density functional theory data (PBE-GGA) for an optimized crystal structure of ScSbIr2.

Values from the calculation:
Density of states at the Fermi level in states/eV per atom: 0.512
Energy relative to the elements, uncorrected in meV/atom: -390.3
Volume in Å³ per atom: 17.87
SG: Pmm2 (25)
Magnetic moment in Bohr magnetons per cell: 0.000
Mass density in g/cm³: 12.8

Structure (POSCAR):
```
ScSbIr2
1.0
3.1919 0.0000 0.0000
0.0000 4.0822 0.0000
0.0000 0.0000 5.4845
Sc Sb Ir
1 1 2
direct
0.0000 0.0000 0.0000 Sc
0.5000 0.5000 0.6679 Sb
0.0000 0.0000 0.4993 Ir
0.5000 0.5000 0.1727 Ir
```

***

No. 11
Density functional theory data (PBE-GGA) for an optimized crystal structure of TbNd2Te2S2.

Values from the calculation:
Density of states at the Fermi level in states/eV per atom: 0.414
Energy relative to the elements, uncorrected in meV/atom: -1476.4
Volume in Å³ per atom: 29.74
SG: I4/mmm (139)
Magnetic moment in Bohr magnetons per cell: 0.000
Mass density in g/cm³: 6.1

Structure (POSCAR):
```
TbNd2Te2S2
1.0
-2.5445 2.5445 8.0391
2.5445 -2.5445 8.0391
2.5445 2.5445 -8.0391
Tb Nd Te S
1 2 2 2
direct
0.0000 0.0000 0.0000 Tb
0.3848 0.3848 0.0000 Nd
0.6152 0.6152 0.0000 Nd
0.1869 0.1869 0.0000 Te
0.8131 0.8131 0.0000 Te
0.0000 0.5000 0.5000 S
0.5000 0.0000 0.5000 S
```

***

No. 12
Density functional theory data (PBE-GGA) for an optimized crystal structure of Sr3Sn3Au8.

Values from the calculation:
DFT formation energy in eV per atom: -0.564
Density of states at the Fermi level in states/eV per atom: 0.352
Distance to the lowest polymorph of the same formula in meV/atom: 1.2
Volume in Å³ per atom: 24.29
SG: C2/m (12)
Magnetic moment in Bohr magnetons per cell: 0.000
Mass density in g/cm³: 10.7

Structure (POSCAR):
```
Sr3Sn3Au8
1.0
8.7398 -2.3577 0.0000
8.7398 2.3577 0.0000
-5.3050 0.0000 8.2524
Sr Sn Au
3 3 8
direct
0.0000 0.0000 0.0000 Sr
0.2989 0.2989 0.3428 Sr
0.7011 0.7011 0.6572 Sr
0.0000 0.0000 0.5000 Sn
0.3260 0.3260 0.9843 Sn
0.6740 0.6740 0.0157 Sn
0.1192 0.1192 0.3869 Au
0.1353 0.1353 0.8366 Au
0.3557 0.3557 0.7392 Au
0.4914 0.4914 0.3028 Au
0.5086 0.5086 0.6972 Au
0.6443 0.6443 0.2608 Au
0.8647 0.8647 0.1634 Au
0.8808 0.8808 0.6131 Au
```

***

Number 1: uncorrected energy -17.494 eV per cell. Number 2: uncorrected energy -73.854 eV per cell. Number 3: uncorrected energy -60.221 eV per cell. Number 4: uncorrected energy -29.023 eV per cell. Number 5: uncorrected energy -14.005 eV per cell. Number 6: uncorrected energy -47.413 eV per cell. Number 7: uncorrected energy -12.414 eV per cell. Number 8: uncorrected energy -56.790 eV per cell. Number 9: uncorrected energy -47.481 eV per cell. Number 10: uncorrected energy -29.737 eV per cell. Number 11: uncorrected energy -39.039 eV per cell. Number 12: uncorrected energy -51.162 eV per cell.